Record 1
Density functional theory data (PBE) for a relaxed structure of AlOsPdC2.

## Properties
- Total energy: -5.448 eV/atom
- DOS at the Fermi energy: 3.96 states/eV/f.u.
- Magnetic moment: 1.865 μB/f.u.
- Symmetry: P4/mmm, No. 123
- ΔE_f: 2.2741 eV per atom

Lattice parameters (Å, degrees): 3.866 4.838 3.866 90.00 90.00 90.00
Atoms (fractional coordinates):
C  0.000  0.000  0.500
C  0.500  0.000  0.000
Os  0.000  0.500  0.000
Al  0.000  0.000  0.000
Pd  0.500  0.500  0.500

***

Record 2
Density functional theory data (PBE) for a relaxed structure of PmAlOs2C.

## Properties
- Total energy: -8.363 eV/atom
- DOS at the Fermi energy: 4.41 states/eV/f.u.
- Magnetic moment: 0.000 μB/f.u.
- Symmetry: Cmcm, No. 63
- ΔE_f: -0.3280 eV per atom

Lattice parameters (Å, degrees): 4.081 5.906 7.272 90.00 90.00 110.21
Atoms (fractional coordinates):
Pm  0.450  0.899  0.750
Pm  0.550  0.101  0.250
Al  0.729  0.457  0.750
Al  0.271  0.543  0.250
Os  0.166  0.333  0.938
Os  0.834  0.667  0.062
Os  0.166  0.333  0.562
Os  0.834  0.667  0.438
C  0.000  0.000  0.000
C  0.000  0.000  0.500

***

Record 3
Density functional theory data (PBE) for a relaxed structure of PrAlOs2C.

## Properties
- Total energy: -8.344 eV/atom
- DOS at the Fermi energy: 4.21 states/eV/f.u.
- Magnetic moment: 0.000 μB/f.u.
- Symmetry: Cmcm, No. 63
- ΔE_f: -0.3026 eV per atom

Lattice parameters (Å, degrees): 4.136 5.924 7.287 90.00 90.00 110.43
Atoms (fractional coordinates):
Pr  0.449  0.898  0.750
Pr  0.551  0.102  0.250
Al  0.728  0.456  0.750
Al  0.272  0.544  0.250
Os  0.167  0.333  0.938
Os  0.833  0.667  0.062
Os  0.167  0.333  0.562
Os  0.833  0.667  0.438
C  0.000  0.000  0.000
C  0.000  0.000  0.500

***

Record 4
Density functional theory data (PBE) for a relaxed structure of PrAl2Os2C.

## Properties
- Total energy: -7.612 eV/atom
- DOS at the Fermi energy: 3.36 states/eV/f.u.
- Magnetic moment: 0.000 μB/f.u.
- Symmetry: P4/mmm, No. 123
- ΔE_f: -0.2873 eV per atom

Lattice parameters (Å, degrees): 4.152 4.152 5.699 90.00 90.00 90.00
Atoms (fractional coordinates):
Pr  0.000  0.000  0.500
Al  0.500  0.500  0.729
Al  0.500  0.500  0.271
Os  0.500  0.000  0.000
Os  0.000  0.500  0.000
C  0.000  0.000  0.000

***

Record 5
Density functional theory data (PBE) for a relaxed structure of Pr2Al2Os2C.

## Properties
- Total energy: -7.369 eV/atom
- DOS at the Fermi energy: 3.82 states/eV/f.u.
- Magnetic moment: 0.000 μB/f.u.
- Symmetry: C2/m, No. 12
- ΔE_f: -0.4083 eV per atom

Lattice parameters (Å, degrees): 4.287 6.156 6.074 74.51 69.33 69.62
Atoms (fractional coordinates):
Pr  0.560  0.171  0.708
Pr  0.440  0.829  0.292
Al  0.161  0.395  0.282
Al  0.839  0.605  0.718
Os  0.197  0.699  0.908
Os  0.803  0.301  0.092
C  0.000  0.000  0.000

***

Record 6
Density functional theory data (PBE) for a relaxed structure of Sm2Al2Os2C.

## Properties
- Total energy: -7.387 eV/atom
- DOS at the Fermi energy: 3.42 states/eV/f.u.
- Magnetic moment: 0.000 μB/f.u.
- Symmetry: C2/m, No. 12
- ΔE_f: -0.4431 eV per atom

Lattice parameters (Å, degrees): 4.217 6.072 6.029 73.65 69.53 69.68
Atoms (fractional coordinates):
Sm  0.560  0.169  0.710
Sm  0.440  0.831  0.290
Al  0.157  0.394  0.291
Al  0.843  0.606  0.709
Os  0.198  0.698  0.906
Os  0.802  0.302  0.094
C  0.000  0.000  0.000